(1)
Density functional theory data (PBEsol) for crystalline Ta2NiSe at its relaxed geometry.

Cell: 3.025 3.025 8.200 Å, 79.37 79.37 60.00°
Element x y z (fractional)
Se: 0.000 0.000 0.000
Ta: 0.248 0.248 0.255
Ta: 0.752 0.752 0.745
Ni: 0.500 0.500 0.500

Properties
* N(E_F): 1.12 states/eV per atom


(2)
Density functional theory data (PBEsol) for crystalline Tc2NiSe at its relaxed geometry.

Cell: 3.028 4.170 4.354 Å, 90.00 90.00 90.00°
Element x y z (fractional)
Se: 0.000 0.500 0.500
Tc: 0.500 0.500 0.000
Tc: 0.000 0.000 0.000
Ni: 0.500 0.000 0.500

Properties
* N(E_F): 0.98 states/eV per atom


(3)
Density functional theory data (PBEsol) for crystalline Tc2NiSe at its relaxed geometry.

Cell: 2.858 4.321 4.752 Å, 100.72 90.00 109.31°
Element x y z (fractional)
Tc: 0.253 0.506 0.265
Tc: 0.747 0.494 0.735
Se: 0.500 0.000 0.000
Ni: 0.000 0.000 0.500

Properties
* N(E_F): 0.93 states/eV per atom


(4)
Density functional theory data (PBEsol) for crystalline NiTeSe4 at its relaxed geometry.

Cell: 5.582 5.582 5.582 Å, 60.00 60.00 60.00°
Last column: magnetic moment on the atom in μB.
Element x y z (fractional)
Se: 0.374 0.374 0.879  0.01
Se: 0.374 0.374 0.374  0.01
Se: 0.374 0.879 0.374  0.01
Se: 0.879 0.374 0.374  0.01
Te: 0.750 0.750 0.750  0.02
Ni: 0.000 0.000 0.000  0.53

Properties
* N(E_F): 1.33 states/eV per atom


(5)
Density functional theory data (PBEsol) for crystalline NiTe2Se at its relaxed geometry.

Cell: 3.783 3.783 7.199 Å, 74.77 74.77 60.00°
Element x y z (fractional)
Se: 0.000 0.000 0.000
Te: 0.768 0.768 0.696
Te: 0.232 0.232 0.304
Ni: 0.500 0.500 0.500

Properties
* N(E_F): 0.59 states/eV per atom


(6)
Density functional theory data (PBEsol) for crystalline Ni2TeSe at its relaxed geometry.

Cell: 4.090 4.385 4.090 Å, 90.00 70.78 90.00°
Element x y z (fractional)
Se: 0.612 0.000 0.612
Te: 0.147 0.500 0.147
Ni: 0.968 0.000 0.968
Ni: 0.770 0.500 0.770

Properties
* N(E_F): 0.60 states/eV per atom
* ΔE to the lowest computed polymorph: 0.000 eV per atom


(7)
Density functional theory data (PBEsol) for crystalline NiTe2Se at its relaxed geometry.

Cell: 3.099 3.099 9.181 Å, 90.00 90.00 104.64°
Element x y z (fractional)
Se: 0.500 0.500 0.000
Te: 0.000 0.000 0.311
Te: 0.000 0.000 0.689
Ni: 0.500 0.500 0.500

Properties
* N(E_F): 0.70 states/eV per atom


(8)
Density functional theory data (PBEsol) for crystalline NiTeSe2 at its relaxed geometry.

Cell: 3.385 4.858 5.938 Å, 114.15 106.56 90.00°
Element x y z (fractional)
Se: 0.657 0.657 0.314
Se: 0.343 0.343 0.686
Ni: 0.000 0.500 0.000
Te: 0.500 0.000 0.000

Properties
* N(E_F): 0.36 states/eV per atom


Per-record total DFT energy (no corrections), eV/f.u.: -34.793 -30.934 -31.548 -20.031 -17.565 -20.475 -16.207 -17.613
Per-record energy relative to the elements, uncorrected, eV/atom: 0.079 0.402 0.248 0.842 -0.126 -0.196 0.213 -0.057